Arrangement w

Computed, not measured: a relaxed PuNpAs2 crystal at the PBE level of DFT.

a = 4.961 Å, b = 4.961 Å, c = 4.961 Å
α = 60.00°, β = 60.00°, γ = 60.00°
Element x y z (fractional)
Pu (0.500, 0.500, 0.500)
As (0.250, 0.250, 0.250)
As (0.750, 0.750, 0.750)
Np (0.000, 0.000, 0.000)

---

Arrangement x

Computed, not measured: a relaxed PuNpAs2 crystal at the PBE level of DFT.

a = 4.027 Å, b = 4.027 Å, c = 7.513 Å
α = 74.45°, β = 74.45°, γ = 60.00°
Element x y z (fractional)
As (0.082, 0.082, 0.754)
As (0.251, 0.251, 0.247)
Pu (0.668, 0.668, 0.995)
Np (0.499, 0.499, 0.504)

---

Arrangement y

Computed, not measured: a relaxed PuNpAs2 crystal at the PBE level of DFT.

a = 4.108 Å, b = 4.108 Å, c = 7.169 Å
α = 90.00°, β = 106.64°, γ = 120.00°
Element x y z (fractional)
Pu (0.000, 0.500, 0.500)
Np (0.000, 0.000, 0.000)
As (0.502, 0.251, 0.752)
As (0.498, 0.749, 0.248)

---

Arrangement z

Computed, not measured: a relaxed PuNpAs2 crystal at the PBE level of DFT.

a = 4.119 Å, b = 5.835 Å, c = 8.268 Å
α = 90.00°, β = 90.00°, γ = 90.00°
Element x y z (fractional)
As (0.000, 0.000, 0.372)
As (0.500, 0.500, 0.123)
As (0.000, 0.000, 0.877)
As (0.500, 0.500, 0.628)
Pu (0.500, 0.000, 0.625)
Pu (0.000, 0.500, 0.375)
Np (0.500, 0.000, 0.125)
Np (0.000, 0.500, 0.875)

---

Here are the energies relative to the best structure, in meV/atom: arrangement w 163; arrangement x 130; arrangement y 40; arrangement z 0.

---

Arrangement w

Computed, not measured: a relaxed PuNpAsSe crystal at the PBE level of DFT.

a = 4.138 Å, b = 4.138 Å, c = 7.157 Å
α = 73.20°, β = 73.20°, γ = 60.00°
Element x y z (fractional)
Se (0.443, 0.443, 0.670)
As (0.945, 0.945, 0.165)
Np (0.693, 0.693, 0.922)
Pu (0.196, 0.196, 0.413)

---

Arrangement x

Computed, not measured: a relaxed PuNpAsSe crystal at the PBE level of DFT.

a = 5.003 Å, b = 5.003 Å, c = 5.003 Å
α = 60.00°, β = 60.00°, γ = 60.00°
Element x y z (fractional)
Se (0.500, 0.500, 0.500)
Np (0.750, 0.750, 0.750)
As (0.000, 0.000, 0.000)
Pu (0.250, 0.250, 0.250)

---

Here are the energies relative to the best structure, in meV/atom: arrangement w 0; arrangement x 180.

---

Arrangement w

Computed, not measured: a relaxed RbNpAs2 crystal at the PBE level of DFT.

a = 3.880 Å, b = 3.880 Å, c = 7.531 Å
α = 90.00°, β = 90.00°, γ = 90.00°
Element x y z (fractional)
Rb (0.500, 0.500, 0.500)
Np (0.500, 0.500, 0.000)
As (0.000, 0.000, 0.170)
As (0.000, 0.000, 0.830)

---

Arrangement x

Computed, not measured: a relaxed RbNpAs2 crystal at the PBE level of DFT.

a = 4.272 Å, b = 4.272 Å, c = 8.375 Å
α = 75.22°, β = 75.22°, γ = 60.00°
Element x y z (fractional)
As (0.276, 0.276, 0.171)
As (0.058, 0.058, 0.825)
Np (0.667, 0.667, 0.998)
Rb (0.498, 0.498, 0.506)

---

Here are the energies relative to the best structure, in meV/atom: arrangement w 0; arrangement x 17.

---

Arrangement w

Computed, not measured: a relaxed NpAsRu2 crystal at the PBE level of DFT.

a = 3.819 Å, b = 4.181 Å, c = 4.181 Å
α = 90.00°, β = 90.00°, γ = 90.00°
Element x y z (fractional)
Ru (0.000, 0.000, 0.500)
Ru (0.000, 0.500, 0.000)
Np (0.500, 0.000, 0.000)
As (0.500, 0.500, 0.500)

---

Arrangement x

Computed, not measured: a relaxed NpAsRu2 crystal at the PBE level of DFT.

a = 4.652 Å, b = 4.354 Å, c = 7.533 Å
α = 90.00°, β = 114.54°, γ = 90.00°
Element x y z (fractional)
Np (0.952, 0.250, 0.766)
Np (0.048, 0.750, 0.234)
Ru (0.397, 0.750, 0.070)
Ru (0.240, 0.250, 0.504)
Ru (0.603, 0.250, 0.930)
Ru (0.760, 0.750, 0.496)
As (0.419, 0.750, 0.726)
As (0.581, 0.250, 0.274)

---

Here are the energies relative to the best structure, in meV/atom: arrangement w 42; arrangement x 0.

---

Arrangement w

Computed, not measured: a relaxed NpSiAs2 crystal at the PBE level of DFT.

a = 3.320 Å, b = 3.320 Å, c = 9.218 Å
α = 79.63°, β = 79.63°, γ = 60.00°
Element x y z (fractional)
Np (0.000, 0.000, 0.000)
As (0.108, 0.108, 0.677)
As (0.892, 0.892, 0.323)
Si (0.500, 0.500, 0.500)

---

Arrangement x

Computed, not measured: a relaxed NpSiAs2 crystal at the PBE level of DFT.

a = 2.792 Å, b = 7.144 Å, c = 6.095 Å
α = 132.51°, β = 117.26°, γ = 66.98°
Element x y z (fractional)
As (0.055, 0.103, 0.398)
As (0.656, 0.704, 0.602)
Si (0.592, 0.166, 0.000)
Np (0.697, 0.562, 0.000)

---

Arrangement y

Computed, not measured: a relaxed NpSiAs2 crystal at the PBE level of DFT.

a = 3.973 Å, b = 4.302 Å, c = 4.302 Å
α = 90.00°, β = 90.00°, γ = 90.00°
Element x y z (fractional)
Np (0.500, 0.000, 0.000)
Si (0.500, 0.500, 0.500)
As (0.000, 0.500, 0.000)
As (0.000, 0.000, 0.500)

---

Here are the energies relative to the best structure, in meV/atom: arrangement w 602; arrangement x 78; arrangement y 0.

---

Arrangement w

Computed, not measured: a relaxed SmNpAs2 crystal at the PBE level of DFT.

a = 4.148 Å, b = 4.148 Å, c = 7.228 Å
α = 73.33°, β = 73.33°, γ = 60.00°
Element x y z (fractional)
Np (0.500, 0.500, 0.500)
As (0.247, 0.247, 0.259)
As (0.753, 0.753, 0.741)
Sm (0.000, 0.000, 0.000)

---

Arrangement x

Computed, not measured: a relaxed SmNpAs2 crystal at the PBE level of DFT.

a = 4.115 Å, b = 4.115 Å, c = 7.469 Å
α = 74.01°, β = 74.01°, γ = 60.00°
Element x y z (fractional)
As (0.079, 0.079, 0.762)
As (0.254, 0.254, 0.238)
Sm (0.497, 0.497, 0.508)
Np (0.669, 0.669, 0.993)

---

Here are the energies relative to the best structure, in meV/atom: arrangement w 0; arrangement x 146.

---

Arrangement w

Computed, not measured: a relaxed Np2SnAs crystal at the PBE level of DFT.

a = 3.439 Å, b = 3.439 Å, c = 8.013 Å
α = 90.00°, β = 90.00°, γ = 90.00°
Element x y z (fractional)
Np (0.000, 0.000, 0.786)
Np (0.000, 0.000, 0.214)
As (0.500, 0.500, 0.000)
Sn (0.500, 0.500, 0.500)

---

Arrangement x

Computed, not measured: a relaxed Np2SnAs crystal at the PBE level of DFT.

a = 3.934 Å, b = 3.934 Å, c = 8.333 Å
α = 76.35°, β = 76.35°, γ = 60.00°
Element x y z (fractional)
Np (0.740, 0.740, 0.779)
Np (0.260, 0.260, 0.221)
As (0.000, 0.000, 0.000)
Sn (0.500, 0.500, 0.500)

---

Here are the energies relative to the best structure, in meV/atom: arrangement w 0; arrangement x 134.

---

Arrangement w

Computed, not measured: a relaxed SrNpAs2 crystal at the PBE level of DFT.

a = 4.222 Å, b = 4.222 Å, c = 7.711 Å
α = 74.11°, β = 74.11°, γ = 60.00°
Element x y z (fractional)
As (0.072, 0.072, 0.784)
As (0.263, 0.263, 0.212)
Np (0.668, 0.668, 0.995)
Sr (0.497, 0.497, 0.508)

---

Arrangement x

Computed, not measured: a relaxed SrNpAs2 crystal at the PBE level of DFT.

a = 4.258 Å, b = 4.258 Å, c = 7.511 Å
α = 90.00°, β = 106.46°, γ = 120.00°
Element x y z (fractional)
Sr (0.000, 0.500, 0.500)
As (0.524, 0.262, 0.786)
As (0.476, 0.738, 0.214)
Np (0.000, 0.000, 0.000)

---

Here are the energies relative to the best structure, in meV/atom: arrangement w 76; arrangement x 0.

---

Arrangement w

Computed, not measured: a relaxed NpTcAs crystal at the PBE level of DFT.

a = 3.358 Å, b = 4.382 Å, c = 4.382 Å
α = 120.00°, β = 90.00°, γ = 90.00°
Element x y z (fractional)
Tc (0.167, 0.333, 0.667)
As (0.166, 0.000, 0.000)
Np (0.667, 0.667, 0.333)

---

Arrangement x

Computed, not measured: a relaxed NpTcAs crystal at the PBE level of DFT.

a = 4.454 Å, b = 4.195 Å, c = 6.124 Å
α = 110.01°, β = 90.00°, γ = 90.00°
Element x y z (fractional)
Tc (0.250, 0.247, 0.494)
Tc (0.750, 0.753, 0.506)
Np (0.750, 0.076, 0.152)
Np (0.250, 0.924, 0.848)
As (0.750, 0.374, 0.748)
As (0.250, 0.626, 0.252)

---

Here are the energies relative to the best structure, in meV/atom: arrangement w 83; arrangement x 0.

---

Arrangement w

Computed, not measured: a relaxed NpTc2As crystal at the PBE level of DFT.

a = 3.684 Å, b = 4.243 Å, c = 4.243 Å
α = 90.00°, β = 90.00°, γ = 90.00°
Element x y z (fractional)
As (0.500, 0.500, 0.500)
Np (0.500, 0.000, 0.000)
Tc (0.000, 0.500, 0.000)
Tc (0.000, 0.000, 0.500)

---

Arrangement x

Computed, not measured: a relaxed NpTc2As crystal at the PBE level of DFT.

a = 4.558 Å, b = 4.558 Å, c = 4.558 Å
α = 60.00°, β = 60.00°, γ = 60.00°
Element x y z (fractional)
Np (0.000, 0.000, 0.000)
As (0.500, 0.500, 0.500)
Tc (0.250, 0.250, 0.250)
Tc (0.750, 0.750, 0.750)

---

Here are the energies relative to the best structure, in meV/atom: arrangement w 0; arrangement x 18.

---

Arrangement w

Computed, not measured: a relaxed TmNpAs2 crystal at the PBE level of DFT.

a = 4.078 Å, b = 4.078 Å, c = 7.083 Å
α = 73.27°, β = 73.27°, γ = 60.00°
Element x y z (fractional)
As (0.749, 0.749, 0.752)
As (0.251, 0.251, 0.248)
Tm (0.000, 0.000, 0.000)
Np (0.500, 0.500, 0.500)

---

Arrangement x

Computed, not measured: a relaxed TmNpAs2 crystal at the PBE level of DFT.

a = 3.967 Å, b = 3.967 Å, c = 7.514 Å
α = 74.69°, β = 74.69°, γ = 60.00°
Element x y z (fractional)
As (0.252, 0.252, 0.243)
As (0.080, 0.080, 0.759)
Np (0.498, 0.498, 0.506)
Tm (0.669, 0.669, 0.993)

---

Here are the energies relative to the best structure, in meV/atom: arrangement w 0; arrangement x 133.

---

Arrangement w

Computed, not measured: a relaxed NpUAs2 crystal at the PBE level of DFT.

a = 4.101 Å, b = 4.101 Å, c = 7.096 Å
α = 73.20°, β = 73.20°, γ = 60.00°
Element x y z (fractional)
As (0.750, 0.750, 0.751)
As (0.250, 0.250, 0.249)
Np (0.500, 0.500, 0.500)
U (0.000, 0.000, 0.000)

---

Arrangement x

Computed, not measured: a relaxed NpUAs2 crystal at the PBE level of DFT.

a = 5.795 Å, b = 5.795 Å, c = 7.098 Å
α = 114.09°, β = 114.09°, γ = 90.00°
Element x y z (fractional)
As (0.000, 0.500, 0.001)
As (0.750, 0.750, 0.499)
As (0.500, 0.000, 0.999)
As (0.250, 0.250, 0.501)
Np (0.750, 0.250, 0.500)
Np (0.000, 0.000, 0.000)
U (0.250, 0.750, 0.500)
U (0.500, 0.500, 0.000)

---

Arrangement y

Computed, not measured: a relaxed NpUAs2 crystal at the PBE level of DFT.

a = 3.510 Å, b = 4.950 Å, c = 4.950 Å
α = 90.00°, β = 90.00°, γ = 90.00°
Element x y z (fractional)
U (0.500, 0.000, 0.000)
As (0.000, 0.500, 0.000)
As (0.000, 0.000, 0.500)
Np (0.500, 0.500, 0.500)

---

Here are the energies relative to the best structure, in meV/atom: arrangement w 0; arrangement x 6; arrangement y 138.